--- P ---
Here is Ni2Ge2Sb after structural relaxation from the Alexandria database. Energies are from GGA-PBE.

Output
The calculated volume comes out at 16.48 A^3/atom. The symmetry is P4/mbm (127). For the total moment, the calculation gives 0.0000 μB/atom. As for the density of states at the Fermi level: 3.40 states/eV/f.u.

Cell: 7.572 7.572 2.873 Å, 90.00 90.00 90.00°
Fractional coordinates of all 10 atoms:
Sb: 0.000 0.000 0.000
Sb: 0.500 0.500 0.000
Ge: 0.352 0.852 0.000
Ge: 0.852 0.648 0.000
Ge: 0.648 0.148 0.000
Ge: 0.148 0.352 0.000
Ni: 0.126 0.626 0.500
Ni: 0.626 0.874 0.500
Ni: 0.874 0.374 0.500
Ni: 0.374 0.126 0.500

=====

--- Q ---
Here is Ni2Ge2Sb after structural relaxation from the Alexandria database. Energies are from GGA-PBE.

Output
The calculated volume comes out at 16.03 A^3/atom. The symmetry is P4/mbm (127). For the total moment, the calculation gives 0.0000 μB/atom. As for the density of states at the Fermi level: 2.81 states/eV/f.u.

Cell: 7.253 7.253 3.047 Å, 90.00 90.00 90.00°
Fractional coordinates of all 10 atoms:
Sb: 0.000 0.000 0.000
Sb: 0.500 0.500 0.000
Ge: 0.148 0.648 0.500
Ge: 0.648 0.852 0.500
Ge: 0.852 0.352 0.500
Ge: 0.352 0.148 0.500
Ni: 0.366 0.866 0.000
Ni: 0.866 0.634 0.000
Ni: 0.634 0.134 0.000
Ni: 0.134 0.366 0.000

=====

Tell me which of them is the least stable. Sure, it is P.

=====

--- P ---
Here is Ni8GeSb2 after structural relaxation from the Alexandria database. Energies are from GGA-PBE.

Output
The calculated volume comes out at 13.20 A^3/atom. The symmetry is Immm (71). For the total moment, the calculation gives 0.0000 μB/atom. As for the density of states at the Fermi level: 6.61 states/eV/f.u.

Cell: 3.664 7.209 6.823 Å, 121.89 105.58 90.00°
Fractional coordinates of all 11 atoms:
Ni: 0.664 0.920 0.328
Ni: 0.336 0.592 0.672
Ni: 0.171 0.171 0.342
Ni: 0.000 0.232 0.000
Ni: 0.829 0.829 0.658
Ni: 0.664 0.408 0.328
Ni: 0.336 0.080 0.672
Ni: 0.000 0.768 0.000
Ge: 0.500 0.000 0.000
Sb: 0.153 0.653 0.307
Sb: 0.847 0.347 0.693

=====

--- Q ---
Here is Ni8GeSb2 after structural relaxation from the Alexandria database. Energies are from GGA-PBE.

Output
The calculated volume comes out at 13.06 A^3/atom. The symmetry is C2/m (12). For the total moment, the calculation gives 0.0000 μB/atom. As for the density of states at the Fermi level: 9.73 states/eV/f.u.

Cell: 3.846 5.780 7.095 Å, 108.12 105.72 90.00°
Fractional coordinates of all 11 atoms:
Ni: 0.419 0.560 0.837
Ni: 0.665 0.921 0.329
Ni: 0.847 0.794 0.693
Ni: 0.972 0.245 0.944
Ni: 0.153 0.206 0.307
Ni: 0.335 0.079 0.671
Ni: 0.581 0.440 0.163
Ni: 0.028 0.755 0.056
Ge: 0.500 0.000 0.000
Sb: 0.802 0.333 0.605
Sb: 0.198 0.667 0.395

=====

Tell me which of them is the least stable. Sure, it is Q.

=====

--- P ---
Here is Ni3GeSb after structural relaxation from the Alexandria database. Energies are from GGA-PBE.

Output
The calculated volume comes out at 14.50 A^3/atom. The symmetry is P1 (1). For the total moment, the calculation gives 0.0000 μB/atom. As for the density of states at the Fermi level: 3.60 states/eV/f.u.

Cell: 5.169 5.192 6.817 Å, 76.75 67.62 59.11°
Fractional coordinates of all 10 atoms:
Ni: 0.998 0.004 0.419
Ni: 0.520 0.350 0.999
Ni: 0.257 0.728 0.732
Ni: 0.013 0.397 0.983
Ni: 0.029 0.510 0.334
Ni: 0.494 0.013 0.411
Ge: 0.966 0.288 0.679
Ge: 0.969 0.909 0.085
Sb: 0.531 0.514 0.336
Sb: 0.606 0.936 0.783

=====

--- Q ---
Here is Ni3GeSb after structural relaxation from the Alexandria database. Energies are from GGA-PBE.

Output
The calculated volume comes out at 16.93 A^3/atom. The symmetry is Pm-3m (221). For the total moment, the calculation gives 0.0000 μB/atom. As for the density of states at the Fermi level: 1.97 states/eV/f.u.

Cell: 4.391 4.391 4.391 Å, 90.00 90.00 90.00°
Fractional coordinates of all 5 atoms:
Sb: 0.500 0.500 0.500
Ge: 0.000 0.000 0.000
Ni: 0.000 0.500 0.000
Ni: 0.000 0.000 0.500
Ni: 0.500 0.000 0.000

=====

Tell me which of them is the least stable. Sure, it is Q.

=====

--- P ---
Here is ScNi3Ge after structural relaxation from the Alexandria database. Energies are from GGA-PBE.

Output
The calculated volume comes out at 16.34 A^3/atom. The symmetry is Cmcm (63). For the total moment, the calculation gives 0.0822 μB/atom. As for the density of states at the Fermi level: 4.68 states/eV/f.u.

Cell: 4.461 6.428 6.428 Å, 117.55 90.00 90.00°
Last column: magnetic moment on the atom in μB.
Fractional coordinates of all 10 atoms:
Sc: 0.750 0.573 0.427  0.01
Sc: 0.250 0.427 0.573  0.01
Ni: 0.750 0.505 0.837  0.00
Ni: 0.750 0.163 0.495  0.00
Ni: 0.250 0.837 0.505  0.00
Ni: 0.250 0.495 0.163  0.00
Ni: 0.000 0.000 0.000  0.41
Ni: 0.500 0.000 0.000  0.41
Ge: 0.750 0.808 0.192  0.00
Ge: 0.250 0.192 0.808  0.00

=====

--- Q ---
Here is ScNi3Ge after structural relaxation from the Alexandria database. Energies are from GGA-PBE.

Output
The calculated volume comes out at 16.30 A^3/atom. The symmetry is Pm-3m (221). For the total moment, the calculation gives 0.0000 μB/atom. As for the density of states at the Fermi level: 4.50 states/eV/f.u.

Cell: 4.336 4.336 4.336 Å, 90.00 90.00 90.00°
Fractional coordinates of all 5 atoms:
Sc: 0.500 0.500 0.500
Ni: 0.000 0.500 0.000
Ni: 0.000 0.000 0.500
Ni: 0.500 0.000 0.000
Ge: 0.000 0.000 0.000

=====

Tell me which of them is the least stable. Sure, it is P.

=====

--- P ---
Here is ScNi3Ge after structural relaxation from the Alexandria database. Energies are from GGA-PBE.

Output
The calculated volume comes out at 17.84 A^3/atom. The symmetry is Pm-3m (221). For the total moment, the calculation gives 0.0000 μB/atom. As for the density of states at the Fermi level: 3.05 states/eV/f.u.

Cell: 4.468 4.468 4.468 Å, 90.00 90.00 90.00°
Fractional coordinates of all 5 atoms:
Sc: 0.000 0.000 0.000
Ni: 0.000 0.500 0.000
Ni: 0.000 0.000 0.500
Ni: 0.500 0.000 0.000
Ge: 0.500 0.500 0.500

=====

--- Q ---
Here is ScNi3Ge after structural relaxation from the Alexandria database. Energies are from GGA-PBE.

Output
The calculated volume comes out at 13.83 A^3/atom. The symmetry is Cmcm (63). For the total moment, the calculation gives 0.0000 μB/atom. As for the density of states at the Fermi level: 3.98 states/eV/f.u.

Cell: 4.650 5.161 6.313 Å, 114.12 90.00 90.00°
Fractional coordinates of all 10 atoms:
Sc: 0.750 0.590 0.181
Sc: 0.250 0.410 0.819
Ni: 0.750 0.602 0.691
Ni: 0.750 0.089 0.691
Ni: 0.250 0.911 0.309
Ni: 0.250 0.398 0.309
Ni: 0.000 0.000 0.000
Ni: 0.500 0.000 0.000
Ge: 0.750 0.182 0.364
Ge: 0.250 0.818 0.636

=====

Tell me which of them is the least stable. Sure, it is P.

=====

--- P ---
Here is ScNi6Ge after structural relaxation from the Alexandria database. Energies are from GGA-PBE.

Output
The calculated volume comes out at 12.09 A^3/atom. The symmetry is Cmmm (65). For the total moment, the calculation gives 0.0001 μB/atom. As for the density of states at the Fermi level: 9.28 states/eV/f.u.

Cell: 6.317 6.317 10.331 Å, 90.00 90.00 110.23°
Fractional coordinates of all 32 atoms:
Sc: 0.743 0.257 0.000
Sc: 0.257 0.743 0.000
Sc: 0.500 0.500 0.750
Sc: 0.500 0.500 0.250
Ni: 0.750 0.250 0.742
Ni: 0.116 0.364 0.870
Ni: 0.884 0.636 0.870
Ni: 0.250 0.750 0.742
Ni: 0.636 0.884 0.870
Ni: 0.364 0.116 0.870
Ni: 0.500 0.500 0.500
Ni: 0.886 0.634 0.621
Ni: 0.634 0.886 0.621
Ni: 0.750 0.250 0.258
Ni: 0.114 0.366 0.379
Ni: 0.886 0.634 0.379
Ni: 0.250 0.750 0.258
Ni: 0.634 0.886 0.379
Ni: 0.366 0.114 0.379
Ni: 0.500 0.500 0.000
Ni: 0.884 0.636 0.130
Ni: 0.636 0.884 0.130
Ni: 0.000 0.000 0.500
Ni: 0.366 0.114 0.621
Ni: 0.114 0.366 0.621
Ni: 0.000 0.000 0.000
Ni: 0.364 0.116 0.130
Ni: 0.116 0.364 0.130
Ge: 0.737 0.263 0.500
Ge: 0.263 0.737 0.500
Ge: 0.000 0.000 0.750
Ge: 0.000 0.000 0.250

=====

--- Q ---
Here is ScNi6Ge after structural relaxation from the Alexandria database. Energies are from GGA-PBE.

Output
The calculated volume comes out at 15.55 A^3/atom. The symmetry is R-3m (166). For the total moment, the calculation gives 0.0000 μB/atom. As for the density of states at the Fermi level: 9.01 states/eV/f.u.

Cell: 4.899 4.899 6.620 Å, 68.28 68.28 60.00°
Fractional coordinates of all 8 atoms:
Sc: 0.500 0.500 0.500
Ni: 0.929 0.929 0.699
Ni: 0.444 0.929 0.699
Ni: 0.071 0.556 0.301
Ni: 0.556 0.071 0.301
Ni: 0.071 0.071 0.301
Ni: 0.929 0.444 0.699
Ge: 0.000 0.000 0.000

=====

Tell me which of them is the least stable. Sure, it is Q.

=====

--- P ---
Here is ScNi3Ge3 after structural relaxation from the Alexandria database. Energies are from GGA-PBE.

Output
The calculated volume comes out at 18.54 A^3/atom. The symmetry is Pm-3n (223). For the total moment, the calculation gives 0.0000 μB/atom. As for the density of states at the Fermi level: 5.88 states/eV/f.u.

Cell: 6.379 6.379 6.379 Å, 90.00 90.00 90.00°
Fractional coordinates of all 14 atoms:
Sc: 0.500 0.500 0.500
Sc: 0.000 0.000 0.000
Ni: 0.250 0.000 0.500
Ni: 0.000 0.500 0.250
Ni: 0.500 0.750 0.000
Ni: 0.750 0.000 0.500
Ni: 0.000 0.500 0.750
Ni: 0.500 0.250 0.000
Ge: 0.000 0.250 0.500
Ge: 0.000 0.750 0.500
Ge: 0.500 0.000 0.750
Ge: 0.750 0.500 0.000
Ge: 0.500 0.000 0.250
Ge: 0.250 0.500 0.000

=====

--- Q ---
Here is ScNi3Ge3 after structural relaxation from the Alexandria database. Energies are from GGA-PBE.

Output
The calculated volume comes out at 15.62 A^3/atom. The symmetry is P6_3/m (176). For the total moment, the calculation gives 0.0000 μB/atom. As for the density of states at the Fermi level: 4.98 states/eV/f.u.

Cell: 4.023 7.924 7.924 Å, 120.00 90.00 90.00°
Fractional coordinates of all 14 atoms:
Sc: 0.250 0.667 0.333
Sc: 0.750 0.333 0.667
Ni: 0.750 0.150 0.926
Ni: 0.750 0.776 0.850
Ni: 0.250 0.926 0.776
Ni: 0.750 0.074 0.224
Ni: 0.250 0.224 0.150
Ni: 0.250 0.850 0.074
Ge: 0.750 0.399 0.292
Ge: 0.750 0.893 0.601
Ge: 0.250 0.292 0.893
Ge: 0.750 0.708 0.107
Ge: 0.250 0.107 0.399
Ge: 0.250 0.601 0.708

=====

Tell me which of them is the least stable. Sure, it is P.

=====

--- P ---
Here is Si2Ni8Ge after structural relaxation from the Alexandria database. Energies are from GGA-PBE.

Output
The calculated volume comes out at 11.42 A^3/atom. The symmetry is Immm (71). For the total moment, the calculation gives 0.0000 μB/atom. As for the density of states at the Fermi level: 6.74 states/eV/f.u.

Cell: 3.678 6.354 6.509 Å, 119.22 106.41 90.00°
Fractional coordinates of all 11 atoms:
Si: 0.187 0.687 0.374
Si: 0.813 0.313 0.626
Ni: 0.663 0.886 0.326
Ni: 0.337 0.559 0.674
Ni: 0.149 0.149 0.298
Ni: 0.000 0.305 0.000
Ni: 0.851 0.851 0.702
Ni: 0.663 0.441 0.326
Ni: 0.337 0.114 0.674
Ni: 0.000 0.695 0.000
Ge: 0.500 0.000 0.000

=====

--- Q ---
Here is Si2Ni8Ge after structural relaxation from the Alexandria database. Energies are from GGA-PBE.

Output
The calculated volume comes out at 11.36 A^3/atom. The symmetry is C2/m (12). For the total moment, the calculation gives 0.0000 μB/atom. As for the density of states at the Fermi level: 6.86 states/eV/f.u.

Cell: 3.703 5.670 6.659 Å, 110.65 106.14 90.00°
Fractional coordinates of all 11 atoms:
Si: 0.805 0.327 0.611
Si: 0.195 0.673 0.389
Ni: 0.401 0.539 0.802
Ni: 0.674 0.932 0.347
Ni: 0.824 0.748 0.649
Ni: 0.969 0.252 0.939
Ni: 0.176 0.252 0.351
Ni: 0.326 0.068 0.653
Ni: 0.599 0.461 0.198
Ni: 0.031 0.748 0.061
Ge: 0.500 0.000 0.000

=====

Tell me which of them is the least stable. Sure, it is Q.

=====

--- P ---
Here is NiSnGe3 after structural relaxation from the Alexandria database. Energies are from GGA-PBE.

Output
The calculated volume comes out at 28.43 A^3/atom. The symmetry is Pm-3m (221). For the total moment, the calculation gives 0.0000 μB/atom. As for the density of states at the Fermi level: 5.19 states/eV/f.u.

Cell: 5.219 5.219 5.219 Å, 90.00 90.00 90.00°
Fractional coordinates of all 5 atoms:
Ni: 0.500 0.500 0.500
Ge: 0.000 0.500 0.000
Ge: 0.000 0.000 0.500
Ge: 0.500 0.000 0.000
Sn: 0.000 0.000 0.000

=====

--- Q ---
Here is NiSnGe3 after structural relaxation from the Alexandria database. Energies are from GGA-PBE.

Output
The calculated volume comes out at 20.57 A^3/atom. The symmetry is Pm-3m (221). For the total moment, the calculation gives 0.0000 μB/atom. As for the density of states at the Fermi level: 1.28 states/eV/f.u.

Cell: 4.685 4.685 4.685 Å, 90.00 90.00 90.00°
Fractional coordinates of all 5 atoms:
Ni: 0.000 0.000 0.000
Ge: 0.000 0.500 0.000
Ge: 0.000 0.000 0.500
Ge: 0.500 0.000 0.000
Sn: 0.500 0.500 0.500

=====

Tell me which of them is the least stable. Sure, it is P.

=====

--- P ---
Here is Ni3SnGe after structural relaxation from the Alexandria database. Energies are from GGA-PBE.

Output
The calculated volume comes out at 14.24 A^3/atom. The symmetry is P2_1/c (14). For the total moment, the calculation gives 0.0000 μB/atom. As for the density of states at the Fermi level: 1.73 states/eV/f.u.

Cell: 5.364 6.098 8.899 Å, 78.06 90.00 90.00°
Fractional coordinates of all 20 atoms:
Ni: 0.111 0.995 0.303
Ni: 0.889 0.005 0.697
Ni: 0.611 0.005 0.197
Ni: 0.389 0.995 0.803
Ni: 0.954 0.302 0.071
Ni: 0.046 0.698 0.929
Ni: 0.454 0.698 0.429
Ni: 0.546 0.302 0.571
Ni: 0.564 0.685 0.030
Ni: 0.436 0.315 0.970
Ni: 0.064 0.315 0.470
Ni: 0.936 0.685 0.530
Sn: 0.376 0.373 0.248
Sn: 0.624 0.627 0.752
Sn: 0.876 0.627 0.252
Sn: 0.124 0.373 0.748
Ge: 0.762 0.050 0.938
Ge: 0.238 0.950 0.062
Ge: 0.262 0.950 0.562
Ge: 0.738 0.050 0.438

=====

--- Q ---
Here is Ni3SnGe after structural relaxation from the Alexandria database. Energies are from GGA-PBE.

Output
The calculated volume comes out at 16.77 A^3/atom. The symmetry is Pm-3m (221). For the total moment, the calculation gives 0.0000 μB/atom. As for the density of states at the Fermi level: 3.51 states/eV/f.u.

Cell: 4.377 4.377 4.377 Å, 90.00 90.00 90.00°
Fractional coordinates of all 5 atoms:
Ni: 0.000 0.500 0.000
Ni: 0.000 0.000 0.500
Ni: 0.500 0.000 0.000
Ge: 0.000 0.000 0.000
Sn: 0.500 0.500 0.500

=====

--- R ---
Here is Ni3SnGe after structural relaxation from the Alexandria database. Energies are from GGA-PBE.

Output
The calculated volume comes out at 20.29 A^3/atom. The symmetry is Pm-3m (221). For the total moment, the calculation gives 0.0000 μB/atom. As for the density of states at the Fermi level: 3.62 states/eV/f.u.

Cell: 4.664 4.664 4.664 Å, 90.00 90.00 90.00°
Fractional coordinates of all 5 atoms:
Ni: 0.000 0.500 0.000
Ni: 0.000 0.000 0.500
Ni: 0.500 0.000 0.000
Ge: 0.500 0.500 0.500
Sn: 0.000 0.000 0.000

=====

Tell me which of them is the least stable. Sure, it is R.